! CaYTa2, optimized geometry, DFT PBE; values from VASP
&SYSTEM
  ibrav = 0, nat = 4, ntyp = 3
/
ATOMIC_SPECIES
Y 88.91 Y.upf
Ca 40.08 Ca.upf
Ta 180.95 Ta.upf
ATOMIC_POSITIONS angstrom
Y -1.8941 -7.9536 -0.5633
Ca -5.6824 -23.8609 -1.6900
Ta -7.5606 -31.7477 -2.2486
Ta -3.8042 -15.9742 -1.1314
CELL_PARAMETERS angstrom
-4.2958 -10.1852 -0.7234
-1.6387 -10.7037 -2.3369
-1.6420 -10.9256 0.8069
! SG: No. 166
! Energy relative to the elements (eV per atom): 0.6659
! Total moment (μB per formula unit): 0.0
! Crystal system: trigonal
! Energy relative to the lowest polymorph listed for this composition (eV per atom): 0.389
! V (Å³ per cell): 94.0
! Total DFT energy (no corrections) (eV/atom): -7.3768